ZrCoO3 | PBE+U | relaxed

The total energy comes out at -36.0 eV per formula unit. The calculation puts the volume at 49 Å³ per cell.

It has space group Pm-3m (No. 221), with a = 3.655 Å, b = 3.655 Å, c = 3.655 Å, α = 90.00°, β = 90.00° and γ = 90.00°. The inequivalent atoms are Zr at (0.000, 0.000, 0.000), Co at (0.500, 0.500, 0.500) and O at (0.000, 0.500, 0.500).